(i)
This record from the Alexandria database describes a geometry-optimized PmSiPd structure. The functional is GGA-PBE.

Summary:
total moment	0.00	μB per formula unit
V	121	Å³ per cell

a = 4.355 Å, b = 5.791 Å, c = 5.630 Å
α = 79.09°, β = 67.25°, γ = 67.91°
Sites, in units of the cell vectors:
Pm: 0.955 0.807 0.284
Pm: 0.045 0.193 0.716
Si: 0.653 0.399 0.295
Si: 0.347 0.601 0.705
Pd: 0.315 0.243 0.127
Pd: 0.685 0.757 0.873

(ii)
This record from the Alexandria database describes a geometry-optimized PmSiPd structure. The functional is GGA-PBE.

Summary:
total moment	0.00	μB per formula unit
V	63	Å³ per cell

a = 3.912 Å, b = 4.309 Å, c = 4.309 Å
α = 120.00°, β = 90.00°, γ = 90.00°
Sites, in units of the cell vectors:
Si: 0.167 0.667 0.333
Pd: 0.167 0.000 0.000
Pm: 0.667 0.333 0.667

(iii)
This record from the Alexandria database describes a geometry-optimized PmSiPd structure. The functional is GGA-PBE.

Summary:
total moment	0.00	μB per formula unit
V	127	Å³ per cell

a = 5.097 Å, b = 5.097 Å, c = 6.041 Å
α = 104.25°, β = 104.25°, γ = 114.60°
Sites, in units of the cell vectors:
Pd: 0.079 0.921 0.500
Pd: 0.329 0.671 0.000
Si: 0.365 0.635 0.500
Si: 0.615 0.385 0.000
Pm: 0.962 0.038 0.000
Pm: 0.712 0.288 0.500

Quick one: most stable of them? (ii)

(i)
This record from the Alexandria database describes a geometry-optimized Pm2SiPd2 structure. The functional is GGA-PBE.

Summary:
total moment	0.00	μB per formula unit
V	220	Å³ per cell

a = 4.183 Å, b = 5.697 Å, c = 10.160 Å
α = 89.25°, β = 78.12°, γ = 68.46°
Sites, in units of the cell vectors:
Pm: 0.664 0.337 0.335
Pm: 0.923 0.268 0.885
Pm: 0.336 0.663 0.665
Pm: 0.077 0.732 0.115
Si: 0.618 0.099 0.664
Si: 0.382 0.901 0.336
Pd: 0.123 0.205 0.549
Pd: 0.638 0.846 0.878
Pd: 0.877 0.795 0.451
Pd: 0.362 0.154 0.122

(ii)
This record from the Alexandria database describes a geometry-optimized Pm2SiPd2 structure. The functional is GGA-PBE.

Summary:
total moment	0.00	μB per formula unit
V	107	Å³ per cell

a = 4.315 Å, b = 5.673 Å, c = 5.672 Å
α = 59.36°, β = 67.64°, γ = 67.65°
Sites, in units of the cell vectors:
Pm: 0.697 0.803 0.303
Pm: 0.303 0.197 0.697
Si: 0.500 0.500 0.000
Pd: 0.000 0.247 0.253
Pd: 0.000 0.753 0.747

Quick one: most stable of them? (i)

(i)
This record from the Alexandria database describes a geometry-optimized Pm2SiPd structure. The functional is GGA-PBE.

Summary:
total moment	0.00	μB per formula unit
V	93	Å³ per cell

a = 3.541 Å, b = 3.541 Å, c = 7.453 Å
α = 90.00°, β = 90.00°, γ = 90.00°
Sites, in units of the cell vectors:
Si: 0.500 0.500 0.500
Pd: 0.500 0.500 0.000
Pm: 0.000 0.000 0.750
Pm: 0.000 0.000 0.250

(ii)
This record from the Alexandria database describes a geometry-optimized Pm2SiPd structure. The functional is GGA-PBE.

Summary:
total moment	0.00	μB per formula unit
V	97	Å³ per cell

a = 4.280 Å, b = 4.116 Å, c = 5.890 Å
α = 110.45°, β = 90.00°, γ = 90.00°
Sites, in units of the cell vectors:
Pm: 0.000 0.986 0.973
Pm: 0.500 0.266 0.531
Si: 0.500 0.550 0.099
Pd: 0.000 0.698 0.395

Quick one: most stable of them? (ii)

(i)
This record from the Alexandria database describes a geometry-optimized Pm2SiPd structure. The functional is GGA-PBE.

Summary:
total moment	0.00	μB per formula unit
V	95	Å³ per cell

a = 5.116 Å, b = 5.116 Å, c = 5.116 Å
α = 60.00°, β = 60.00°, γ = 60.00°
Sites, in units of the cell vectors:
Si: 0.000 0.000 0.000
Pd: 0.500 0.500 0.500
Pm: 0.250 0.250 0.250
Pm: 0.750 0.750 0.750

(ii)
This record from the Alexandria database describes a geometry-optimized Pm2SiPd structure. The functional is GGA-PBE.

Summary:
total moment	0.00	μB per formula unit
V	196	Å³ per cell

a = 4.331 Å, b = 5.931 Å, c = 8.169 Å
α = 110.93°, β = 90.00°, γ = 90.00°
Sites, in units of the cell vectors:
Pm: 0.750 0.224 0.437
Pm: 0.250 0.776 0.563
Pm: 0.250 0.781 0.082
Pm: 0.750 0.219 0.918
Si: 0.250 0.338 0.207
Si: 0.750 0.662 0.793
Pd: 0.750 0.626 0.284
Pd: 0.250 0.374 0.716

Quick one: most stable of them? (ii)

(i)
This record from the Alexandria database describes a geometry-optimized PmSiPd3 structure. The functional is GGA-PBE.

Summary:
total moment	0.00	μB per formula unit
V	380	Å³ per cell

a = 6.196 Å, b = 6.196 Å, c = 11.436 Å
α = 90.00°, β = 90.00°, γ = 120.00°
Sites, in units of the cell vectors:
Pm: 0.333 0.667 0.250
Pm: 0.667 0.333 0.750
Pm: 0.000 0.000 0.500
Pm: 0.000 0.000 0.000
Si: 0.667 0.333 0.140
Si: 0.333 0.667 0.640
Si: 0.333 0.667 0.860
Si: 0.667 0.333 0.360
Pd: 0.144 0.288 0.750
Pd: 0.288 0.144 0.250
Pd: 0.856 0.144 0.250
Pd: 0.144 0.856 0.750
Pd: 0.712 0.856 0.750
Pd: 0.856 0.712 0.250
Pd: 0.500 0.500 0.500
Pd: 0.500 0.000 0.000
Pd: 0.500 0.500 0.000
Pd: 0.500 0.000 0.500
Pd: 0.000 0.500 0.500
Pd: 0.000 0.500 0.000

(ii)
This record from the Alexandria database describes a geometry-optimized PmSiPd3 structure. The functional is GGA-PBE.

Summary:
total moment	0.00	μB per formula unit
V	99	Å³ per cell

a = 4.631 Å, b = 4.631 Å, c = 4.631 Å
α = 90.00°, β = 90.00°, γ = 90.00°
Sites, in units of the cell vectors:
Si: 0.000 0.000 0.000
Pd: 0.000 0.500 0.000
Pd: 0.000 0.000 0.500
Pd: 0.500 0.000 0.000
Pm: 0.500 0.500 0.500

Quick one: most stable of them? (i)

(i)
This record from the Alexandria database describes a geometry-optimized TbPmSiPd structure. The functional is GGA-PBE.

Summary:
total moment	0.00	μB per formula unit
V	94	Å³ per cell

a = 4.044 Å, b = 4.247 Å, c = 5.852 Å
α = 90.00°, β = 110.21°, γ = 90.00°
Sites, in units of the cell vectors:
Tb: 0.136 0.000 0.272
Pm: 0.857 0.500 0.714
Si: 0.578 0.500 0.157
Pd: 0.428 0.000 0.856

(ii)
This record from the Alexandria database describes a geometry-optimized TbPmSiPd structure. The functional is GGA-PBE.

Summary:
total moment	0.00	μB per formula unit
V	92	Å³ per cell

a = 5.061 Å, b = 5.061 Å, c = 5.061 Å
α = 60.00°, β = 60.00°, γ = 60.00°
Sites, in units of the cell vectors:
Si: 0.250 0.250 0.250
Tb: 0.000 0.000 0.000
Pd: 0.750 0.750 0.750
Pm: 0.500 0.500 0.500

Quick one: most stable of them? (i)

(i)
This record from the Alexandria database describes a geometry-optimized PmYSiPd structure. The functional is GGA-PBE.

Summary:
total moment	0.00	μB per formula unit
V	91	Å³ per cell

a = 5.054 Å, b = 5.054 Å, c = 5.054 Å
α = 60.00°, β = 60.00°, γ = 60.00°
Sites, in units of the cell vectors:
Y: 0.500 0.500 0.500
Si: 0.750 0.750 0.750
Pd: 0.250 0.250 0.250
Pm: 0.000 0.000 0.000

(ii)
This record from the Alexandria database describes a geometry-optimized PmYSiPd structure. The functional is GGA-PBE.

Summary:
total moment	0.00	μB per formula unit
V	94	Å³ per cell

a = 4.062 Å, b = 4.258 Å, c = 5.804 Å
α = 90.00°, β = 110.48°, γ = 90.00°
Sites, in units of the cell vectors:
Pm: 0.141 0.000 0.281
Y: 0.861 0.500 0.722
Si: 0.573 0.500 0.147
Pd: 0.425 0.000 0.850

Quick one: most stable of them? (ii)

(i)
This record from the Alexandria database describes a geometry-optimized PmSm2Pd structure. The functional is GGA-PBE.

Summary:
total moment	0.00	μB per formula unit
V	124	Å³ per cell

a = 3.886 Å, b = 3.886 Å, c = 9.748 Å
α = 78.50°, β = 78.50°, γ = 60.00°
Sites, in units of the cell vectors:
Pm: 0.500 0.500 0.499
Sm: 0.064 0.064 0.809
Sm: 0.269 0.269 0.192
Pd: 0.666 0.666 0.001

(ii)
This record from the Alexandria database describes a geometry-optimized PmSm2Pd structure. The functional is GGA-PBE.

Summary:
total moment	0.00	μB per formula unit
V	115	Å³ per cell

a = 3.658 Å, b = 3.658 Å, c = 8.616 Å
α = 90.00°, β = 90.00°, γ = 90.00°
Sites, in units of the cell vectors:
Pd: 0.500 0.500 0.000
Sm: 0.000 0.000 0.803
Sm: 0.000 0.000 0.197
Pm: 0.500 0.500 0.500

(iii)
This record from the Alexandria database describes a geometry-optimized PmSm2Pd structure. The functional is GGA-PBE.

Summary:
total moment	0.00	μB per formula unit
V	473	Å³ per cell

a = 6.577 Å, b = 7.189 Å, c = 9.993 Å
α = 90.00°, β = 90.00°, γ = 90.00°
Sites, in units of the cell vectors:
Pm: 0.639 0.524 0.250
Pm: 0.861 0.024 0.250
Pm: 0.361 0.476 0.750
Pm: 0.139 0.976 0.750
Sm: 0.170 0.680 0.060
Sm: 0.330 0.180 0.440
Sm: 0.830 0.320 0.560
Sm: 0.670 0.820 0.940
Sm: 0.830 0.320 0.940
Sm: 0.670 0.820 0.560
Sm: 0.170 0.680 0.440
Sm: 0.330 0.180 0.060
Pd: 0.071 0.386 0.250
Pd: 0.429 0.886 0.250
Pd: 0.929 0.614 0.750
Pd: 0.571 0.114 0.750

(iv)
This record from the Alexandria database describes a geometry-optimized PmSm2Pd structure. The functional is GGA-PBE.

Summary:
total moment	0.00	μB per formula unit
V	233	Å³ per cell

a = 3.874 Å, b = 6.472 Å, c = 9.719 Å
α = 90.00°, β = 90.00°, γ = 107.39°
Sites, in units of the cell vectors:
Pm: 0.931 0.861 0.250
Pm: 0.069 0.139 0.750
Sm: 0.365 0.729 0.561
Sm: 0.635 0.271 0.439
Sm: 0.365 0.729 0.939
Sm: 0.635 0.271 0.061
Pd: 0.767 0.535 0.750
Pd: 0.233 0.465 0.250

Quick one: most stable of them? (iii)

(i)
This record from the Alexandria database describes a geometry-optimized PmSmPd structure. The functional is GGA-PBE.

Summary:
total moment	0.00	μB per formula unit
V	479	Å³ per cell

a = 8.285 Å, b = 8.285 Å, c = 8.058 Å
α = 90.00°, β = 90.00°, γ = 120.00°
Sites, in units of the cell vectors:
Pm: 0.000 0.263 0.000
Pm: 0.737 0.737 0.000
Pm: 0.263 0.000 0.000
Pm: 0.000 0.263 0.500
Pm: 0.737 0.737 0.500
Pm: 0.263 0.000 0.500
Sm: 0.021 0.607 0.250
Sm: 0.393 0.413 0.250
Sm: 0.587 0.979 0.250
Sm: 0.413 0.393 0.750
Sm: 0.979 0.587 0.750
Sm: 0.607 0.021 0.750
Pd: 0.000 0.000 0.250
Pd: 0.000 0.000 0.750
Pd: 0.667 0.333 0.057
Pd: 0.667 0.333 0.443
Pd: 0.333 0.667 0.943
Pd: 0.333 0.667 0.557

(ii)
This record from the Alexandria database describes a geometry-optimized PmSmPd structure. The functional is GGA-PBE.

Summary:
total moment	0.90	μB per formula unit
V	82	Å³ per cell

a = 3.656 Å, b = 3.656 Å, c = 6.628 Å
α = 106.01°, β = 106.01°, γ = 90.00°
Sites, in units of the cell vectors:
Sm: 0.027 0.027 0.054
Pd: 0.665 0.665 0.330
Pm: 0.308 0.308 0.616

(iii)
This record from the Alexandria database describes a geometry-optimized PmSmPd structure. The functional is GGA-PBE.

Summary:
total moment	0.00	μB per formula unit
V	178	Å³ per cell

a = 4.299 Å, b = 3.846 Å, c = 17.949 Å
α = 129.96°, β = 118.61°, γ = 89.95°
Sites, in units of the cell vectors:
Pd: 0.908 0.736 0.829
Pd: 0.092 0.264 0.171
Pm: 0.533 0.424 0.391
Pm: 0.467 0.576 0.609
Sm: 0.524 0.410 0.887
Sm: 0.476 0.590 0.113

Quick one: most stable of them? (ii)

(i)
This record from the Alexandria database describes a geometry-optimized PmSmPd structure. The functional is GGA-PBE.

Summary:
total moment	0.00	μB per formula unit
V	165	Å³ per cell

a = 3.627 Å, b = 7.262 Å, c = 6.771 Å
α = 105.56°, β = 105.54°, γ = 89.93°
Sites, in units of the cell vectors:
Pm: 0.576 0.120 0.918
Pm: 0.302 0.984 0.371
Sm: 0.301 0.483 0.369
Sm: 0.576 0.621 0.920
Pd: 0.939 0.308 0.644
Pd: 0.939 0.796 0.644

(ii)
This record from the Alexandria database describes a geometry-optimized PmSmPd structure. The functional is GGA-PBE.

Summary:
total moment	0.00	μB per formula unit
V	80	Å³ per cell

a = 3.935 Å, b = 4.839 Å, c = 4.839 Å
α = 120.00°, β = 90.00°, γ = 90.00°
Sites, in units of the cell vectors:
Pd: 0.339 0.333 0.667
Sm: 0.608 0.667 0.333
Pm: 0.053 0.000 0.000

(iii)
This record from the Alexandria database describes a geometry-optimized PmSmPd structure. The functional is GGA-PBE.

Summary:
total moment	0.00	μB per formula unit
V	88	Å³ per cell

a = 5.001 Å, b = 5.001 Å, c = 5.001 Å
α = 60.00°, β = 60.00°, γ = 60.00°
Sites, in units of the cell vectors:
Pd: 0.250 0.250 0.250
Sm: 0.500 0.500 0.500
Pm: 0.000 0.000 0.000

Quick one: most stable of them? (i)